1.
VASP calculation (PBE-GGA) on crystalline TiBeSb2I at its relaxed geometry.

The space group is P4/mmm (No. 123) and the conventional cell measures 5.3067, 5.3067 and 5.4577 Å, with angles of 90.00, 90.00 and 90.00 degrees. Symmetry generates all atoms from Ti at (0.0000, 0.0000, 0.0000), Be at (0.5000, 0.5000, 0.5000), Sb at (0.0000, 0.5000, 0.0000) and I at (0.0000, 0.0000, 0.5000).

The formation energy (no corrections) is 321 kJ/mol of formula units.

2.
VASP calculation (PBE-GGA) on crystalline ScPRu2 at its relaxed geometry.

The space group is P4/mmm (No. 123) and the conventional cell measures 3.0491, 3.0491 and 6.2120 Å, with angles of 90.00, 90.00 and 90.00 degrees. Symmetry generates all atoms from Sc at (0.0000, 0.0000, 0.0000), P at (0.0000, 0.0000, 0.5000) and Ru at (0.5000, 0.5000, 0.2791).

The calculation puts the formation energy at -0.511 eV per atom.

3.
VASP calculation (PBE-GGA) on crystalline Ac2EuO at its relaxed geometry.

The space group is R-3m (No. 166, hexagonal axes) and the conventional cell measures 3.8849, 3.8849 and 31.1235 Å, with angles of 90.00, 90.00 and 120.00 degrees. Symmetry generates all atoms from Ac at (0.0000, 0.0000, 0.1192), Eu at (0.0000, 0.0000, 0.0000) and O at (0.0000, 0.0000, 0.5000).

The formation energy (no corrections) is -406 kJ/mol of formula units.

4.
VASP calculation (PBE-GGA) on crystalline Co7Ir2Rh2 at its relaxed geometry.

The space group is C2/m (No. 12) and the conventional cell measures 8.4657, 8.1451 and 4.5559 Å, with angles of 90.00, 117.55 and 90.00 degrees. Symmetry generates all atoms from Co at (0.0000, 0.0000, 0.0000), Co at (0.1707, 0.2412, 0.1657), Co at (0.2389, 0.5000, 0.4470), Ir at (0.0000, 0.1757, 0.5000) and Rh at (0.1057, 0.5000, 0.8258).

The calculation puts the formation energy at 0.150 eV per atom.

5.
VASP calculation (PBE-GGA) on crystalline Pm5YHo2Er at its relaxed geometry.

The space group is Cmc2_1 (No. 36) and the conventional cell measures 5.6328, 20.2183 and 10.7134 Å, with angles of 90.00, 90.00 and 90.00 degrees. Symmetry generates all atoms from Pm at (0.0000, 0.0170, 0.0000), Pm at (0.0000, 0.2810, 0.2918), Pm at (0.0000, 0.2985, 0.6890), Pm at (0.0000, 0.3872, 0.0028), Pm at (0.0000, 0.4821, 0.7239), Y at (0.0000, 0.1998, 0.9920), Ho at (0.0000, 0.1115, 0.7194), Ho at (0.0000, 0.1147, 0.2938) and Er at (0.0000, 0.4094, 0.4430).

The calculation puts the formation energy at 0.144 eV per atom.

6.
VASP calculation (PBE-GGA) on crystalline CeMg2Zn2 at its relaxed geometry.

The space group is I4/mmm (No. 139) and the conventional cell measures 4.2924, 4.2924 and 12.0977 Å, with angles of 90.00, 90.00 and 90.00 degrees. Symmetry generates all atoms from Ce at (0.0000, 0.0000, 0.0000), Mg at (0.0000, 0.5000, 0.2500) and Zn at (0.0000, 0.0000, 0.3969).

The calculation puts the formation energy at -0.144 eV per atom.

7.
VASP calculation (PBE-GGA) on crystalline LiReH3 at its relaxed geometry.

The space group is Pm-3m (No. 221) and the conventional cell measures 3.4732, 3.4732 and 3.4732 Å, with angles of 90.00, 90.00 and 90.00 degrees. Symmetry generates all atoms from Li at (0.0000, 0.0000, 0.0000), Re at (0.5000, 0.5000, 0.5000) and H at (0.0000, 0.5000, 0.5000).

The value obtained for the raw total energy is -23.52 eV/cell.

8.
VASP calculation (PBE-GGA) on crystalline Dy8In3Ga2 at its relaxed geometry.

The space group is Cmmm (No. 65) and the conventional cell measures 8.8301, 15.5315 and 5.3678 Å, with angles of 90.00, 90.00 and 90.00 degrees. Symmetry generates all atoms from Dy at (0.0000, 0.1092, 0.0000), Dy at (0.0000, 0.3127, 0.0000), Dy at (0.2155, 0.3743, 0.5000), In at (0.0000, 0.0000, 0.5000), In at (0.1768, 0.5000, 0.0000) and Ga at (0.0000, 0.2263, 0.5000).

The calculation puts the formation energy at -0.257 eV per atom.

Number 1: magnetization 0.000 μB/atom. Number 2: magnetization 0.000 μB/atom. Number 3: magnetization 1.818 μB/atom. Number 4: magnetization 1.431 μB/atom. Number 5: magnetization 0.000 μB/atom. Number 6: magnetization 0.229 μB/atom. Number 7: magnetization 0.000 μB/atom. Number 8: magnetization 0.001 μB/atom.